# Sr2AlSb2H4 (PBE, relaxed)
data_Sr2AlSb2H4
_cell_length_a 6.304
_cell_length_b 6.304
_cell_length_c 6.304
_cell_angle_alpha 118.02
_cell_angle_beta 118.02
_cell_angle_gamma 93.47
_symmetry_space_group_name_H-M 'P 1'
_symmetry_Int_Tables_number 1
_symmetry_space_group_name_Hall 'P 1'
loop_
_atom_site_label
_atom_site_fract_x
_atom_site_fract_y
_atom_site_fract_z
Sr1 0.250 0.750 0.500
Sr2 0.750 0.250 0.500
Al1 0.000 0.000 0.000
Sb1 0.340 0.340 0.000
Sb2 0.660 0.660 0.000
H1 0.187 0.187 0.374
H2 0.187 0.813 0.000
H3 0.813 0.187 0.000
H4 0.813 0.813 0.626
# * space-group type: I4/mmm, No. 139
# * E_tot: -3.33 eV per atom

---

# NbNiN (PBE, relaxed)
data_NbNiN
_cell_length_a 4.702
_cell_length_b 2.910
_cell_length_c 5.128
_cell_angle_alpha 90.00
_cell_angle_beta 97.61
_cell_angle_gamma 90.00
_symmetry_space_group_name_H-M 'P 1'
_symmetry_Int_Tables_number 1
_symmetry_space_group_name_Hall 'P 1'
loop_
_atom_site_label
_atom_site_fract_x
_atom_site_fract_y
_atom_site_fract_z
Nb1 0.195 0.000 0.271
Nb2 0.805 0.000 0.729
Ni1 0.336 0.500 0.787
Ni2 0.664 0.500 0.213
N1 0.000 0.500 0.000
N2 0.000 0.500 0.500
# * formation energy without anion corrections: -0.50 eV per atom
# * space-group type: P2/m, No. 10
# * E_tot: -8.56 eV per atom

---

Question: Look up the E_tot of the first one.
Answer: -3.33 eV per atom

---

Question: Which formula does entry 2 have?
Answer: NbNiN

---

Repeat the first record exactly.
# Sr2AlSb2H4 (PBE, relaxed)
data_Sr2AlSb2H4
_cell_length_a 6.304
_cell_length_b 6.304
_cell_length_c 6.304
_cell_angle_alpha 118.02
_cell_angle_beta 118.02
_cell_angle_gamma 93.47
_symmetry_space_group_name_H-M 'P 1'
_symmetry_Int_Tables_number 1
_symmetry_space_group_name_Hall 'P 1'
loop_
_atom_site_label
_atom_site_fract_x
_atom_site_fract_y
_atom_site_fract_z
Sr1 0.250 0.750 0.500
Sr2 0.750 0.250 0.500
Al1 0.000 0.000 0.000
Sb1 0.340 0.340 0.000
Sb2 0.660 0.660 0.000
H1 0.187 0.187 0.374
H2 0.187 0.813 0.000
H3 0.813 0.187 0.000
H4 0.813 0.813 0.626
# * space-group type: I4/mmm, No. 139
# * E_tot: -3.33 eV per atom